(1)
{"formula": "Sr2PuSe2O2", "functional": "PBE-GGA", "state": "optimized geometry", "dft_energy_ev_per_atom": -7.323, "dos_ef_per_ev_atom": 0.72, "space_group": "No. 139", "formation_energy_uncorrected_ev_per_atom": -2.382, "lattice_angstrom": [[-2.185, 2.185, 8.365], [2.185, -2.185, 8.365], [2.185, 2.185, -8.365]], "species": ["Sr", "Sr", "Pu", "Se", "Se", "O", "O"], "fractional_positions": [[0.138, 0.138, 0.000], [0.862, 0.862, 0.000], [0.500, 0.500, 0.000], [0.328, 0.328, 0.000], [0.672, 0.672, 0.000], [0.000, 0.500, 0.500], [0.500, 0.000, 0.500]]}

***

(2)
{"formula": "TlMoIr2", "functional": "PBE-GGA", "state": "optimized geometry", "dft_energy_ev_per_atom": -7.289, "dos_ef_per_ev_atom": 1.29, "relative_energy_ev_per_atom": 0.353, "space_group": "No. 160", "delta_e_f_mev_per_atom": 441.1, "lattice_angstrom": [[1.448, 0.836, 9.246], [-1.448, 0.836, 9.246], [0.000, -1.672, 9.246]], "species": ["Tl", "Mo", "Ir", "Ir"], "fractional_positions": [[0.000, 0.000, 0.000], [0.758, 0.758, 0.758], [0.247, 0.247, 0.247], [0.500, 0.500, 0.500]]}